Below is AcGa2Rh after structural relaxation, with properties calculated at the PBE level. Values from VASP.

```
&SYSTEM
  ibrav = 0, nat = 4, ntyp = 3
/
ATOMIC_SPECIES
Ac 227.00 Ac.upf
Ga 69.72 Ga.upf
Rh 102.91 Rh.upf
CELL_PARAMETERS angstrom
3.415 0.000 0.000
0.000 3.415 0.000
0.000 0.000 7.115
ATOMIC_POSITIONS crystal
Ac 0.000 0.000 0.000
Ga 0.500 0.500 0.319
Ga 0.500 0.500 0.681
Rh 0.000 0.000 0.500
```

Calculated values
E_tot = -4.803 eV per atom
SG = P4/mmm (123)